(1)
Na3Pm2PtO6 (PBE-GGA, optimized geometry); space group = No. 12; formation energy without anion corrections = -1.9717 eV per atom; calculated total energy = -6.08 eV/atom; size of the total moment = 1.00 Bohr magnetons per cell; calculated volume = 14.19 A^3/atom
1.0
2.952 -5.105 0.000
2.952 5.105 0.000
-1.863 0.000 5.652
Na Pm Pt O
3 2 1 6
direct
0.000 0.000 0.000
0.345 0.655 0.000
0.655 0.345 0.000
0.171 0.829 0.500
0.829 0.171 0.500
0.500 0.500 0.500
0.095 0.422 0.269
0.264 0.264 0.704
0.422 0.095 0.269
0.578 0.905 0.731
0.736 0.736 0.296
0.905 0.578 0.731


(2)
NaPm2PtO6 (PBE-GGA, optimized geometry); space group = No. 14; formation energy without anion corrections = -2.1375 eV per atom; calculated total energy = -6.80 eV/atom; size of the total moment = 1.14 Bohr magnetons per cell; calculated volume = 13.20 A^3/atom
1.0
5.542 0.000 0.000
0.000 5.980 0.000
-5.386 0.000 7.966
Na Pm Pt O
2 4 2 12
direct
0.000 0.000 0.000
0.000 0.500 0.500
0.222 0.076 0.746
0.222 0.424 0.246
0.778 0.576 0.754
0.778 0.924 0.254
0.500 0.000 0.500
0.500 0.500 0.000
0.145 0.175 0.443
0.145 0.325 0.943
0.265 0.714 0.428
0.265 0.786 0.928
0.396 0.054 0.267
0.396 0.446 0.767
0.604 0.554 0.233
0.604 0.946 0.733
0.735 0.214 0.072
0.735 0.286 0.572
0.855 0.675 0.057
0.855 0.825 0.557


(3)
NaPm2PtO5 (PBE-GGA, optimized geometry); space group = No. 127; formation energy without anion corrections = -2.2258 eV per atom; calculated total energy = -6.85 eV/atom; size of the total moment = 2.01 Bohr magnetons per cell; calculated volume = 14.87 A^3/atom
1.0
6.766 0.000 0.000
0.000 6.766 0.000
0.000 0.000 5.848
Na Pm Pt O
2 4 2 10
direct
0.000 0.000 0.000
0.500 0.500 0.000
0.177 0.323 0.500
0.323 0.823 0.500
0.677 0.177 0.500
0.823 0.677 0.500
0.000 0.500 0.000
0.500 0.000 0.000
0.000 0.000 0.500
0.136 0.636 0.255
0.136 0.636 0.745
0.364 0.136 0.255
0.364 0.136 0.745
0.500 0.500 0.500
0.636 0.864 0.255
0.636 0.864 0.745
0.864 0.364 0.255
0.864 0.364 0.745


(4)
Na4Pm3PtO8 (PBE-GGA, optimized geometry); space group = No. 12; formation energy without anion corrections = -2.1451 eV per atom; calculated total energy = -6.22 eV/atom; size of the total moment = 1.03 Bohr magnetons per cell; calculated volume = 14.73 A^3/atom
1.0
6.098 -3.407 0.000
6.098 3.407 0.000
-3.805 0.000 5.672
Na Pm Pt O
4 3 1 8
direct
0.000 0.000 0.000
0.000 0.500 0.000
0.500 0.000 0.000
0.500 0.500 0.000
0.000 0.000 0.500
0.000 0.500 0.500
0.500 0.000 0.500
0.500 0.500 0.500
0.228 0.228 0.244
0.231 0.231 0.715
0.262 0.712 0.704
0.288 0.738 0.296
0.712 0.262 0.704
0.738 0.288 0.296
0.769 0.769 0.285
0.772 0.772 0.756


(5)
Na2Pm2PuO6 (PBE-GGA, optimized geometry); space group = No. 12; formation energy without anion corrections = -2.7098 eV per atom; calculated total energy = -7.82 eV/atom; size of the total moment = 4.00 Bohr magnetons per cell; calculated volume = 16.80 A^3/atom
1.0
3.074 -5.325 0.000
3.074 5.325 0.000
-1.815 0.000 5.646
Na Pm Pu O
2 2 1 6
direct
0.160 0.840 0.000
0.840 0.160 0.000
0.335 0.665 0.500
0.665 0.335 0.500
0.000 0.000 0.500
0.047 0.378 0.699
0.243 0.243 0.300
0.378 0.047 0.699
0.622 0.953 0.301
0.757 0.757 0.700
0.953 0.622 0.301


(6)
NaPmPuO6 (PBE-GGA, optimized geometry); space group = No. 163; formation energy without anion corrections = -2.3604 eV per atom; calculated total energy = -7.93 eV/atom; size of the total moment = 0.00 Bohr magnetons per cell; calculated volume = 15.13 A^3/atom
1.0
5.668 0.000 0.000
-2.834 4.908 0.000
0.000 0.000 9.793
Na Pm Pu O
2 2 2 12
direct
0.333 0.667 0.250
0.667 0.333 0.750
0.000 0.000 0.000
0.000 0.000 0.500
0.333 0.667 0.750
0.667 0.333 0.250
0.054 0.371 0.636
0.054 0.682 0.864
0.318 0.371 0.864
0.318 0.946 0.636
0.371 0.054 0.136
0.371 0.318 0.364
0.629 0.682 0.636
0.629 0.946 0.864
0.682 0.054 0.364
0.682 0.629 0.136
0.946 0.318 0.136
0.946 0.629 0.364


(7)
Na4Pm3PuO8 (PBE-GGA, optimized geometry); space group = No. 166; formation energy without anion corrections = -2.5746 eV per atom; calculated total energy = -7.17 eV/atom; size of the total moment = 5.00 Bohr magnetons per cell; calculated volume = 15.34 A^3/atom
1.0
3.547 2.048 5.633
-3.547 2.048 5.633
0.000 -4.095 5.633
Na Pm Pu O
4 3 1 8
direct
0.000 0.000 0.000
0.000 0.500 0.500
0.500 0.000 0.500
0.500 0.500 0.000
0.000 0.000 0.500
0.000 0.500 0.000
0.500 0.000 0.000
0.500 0.500 0.500
0.239 0.239 0.239
0.242 0.737 0.737
0.263 0.263 0.758
0.263 0.758 0.263
0.737 0.242 0.737
0.737 0.737 0.242
0.758 0.263 0.263
0.761 0.761 0.761


(8)
NaPmPu2O8 (PBE-GGA, optimized geometry); space group = No. 119; formation energy without anion corrections = -2.2158 eV per atom; calculated total energy = -8.42 eV/atom; size of the total moment = 4.00 Bohr magnetons per cell; calculated volume = 17.32 A^3/atom
1.0
-3.770 3.770 3.655
3.770 -3.770 3.655
3.770 3.770 -3.655
Na Pm Pu O
1 1 2 8
direct
0.000 0.000 0.000
0.750 0.250 0.500
0.250 0.750 0.500
0.500 0.500 0.000
0.048 0.379 0.331
0.048 0.717 0.669
0.125 0.316 0.810
0.283 0.952 0.331
0.506 0.316 0.190
0.621 0.952 0.669
0.684 0.494 0.810
0.684 0.875 0.190


(9)
NaPmPuO4 (PBE-GGA, optimized geometry); space group = No. 74; formation energy without anion corrections = -2.8007 eV per atom; calculated total energy = -8.55 eV/atom; size of the total moment = 8.00 Bohr magnetons per cell; calculated volume = 17.58 A^3/atom
1.0
-3.489 3.554 4.962
3.489 -3.554 4.962
3.489 3.554 -4.962
Na Pm Pu O
2 2 2 8
direct
0.363 0.113 0.250
0.637 0.887 0.750
0.000 0.500 0.500
0.500 0.500 0.000
0.000 0.000 0.500
0.000 0.500 0.000
0.192 0.738 0.454
0.215 0.262 0.954
0.223 0.252 0.529
0.223 0.694 0.971
0.777 0.306 0.029
0.777 0.748 0.471
0.785 0.738 0.046
0.808 0.262 0.546


(10)
Na2PmPuO4 (PBE-GGA, optimized geometry); space group = No. 10; formation energy without anion corrections = -2.5082 eV per atom; calculated total energy = -7.70 eV/atom; size of the total moment = 5.00 Bohr magnetons per cell; calculated volume = 15.24 A^3/atom
1.0
5.986 0.000 0.000
0.000 3.543 0.000
-2.091 0.000 5.750
Na Pm Pu O
2 1 1 4
direct
0.000 0.000 0.000
0.000 0.500 0.500
0.500 0.000 0.500
0.500 0.500 0.000
0.283 0.500 0.259
0.286 0.000 0.767
0.714 0.000 0.233
0.717 0.500 0.741


(11)
Rb2Na2PmO4 (PBE-GGA, optimized geometry); space group = No. 12; formation energy without anion corrections = -1.6945 eV per atom; calculated total energy = -4.93 eV/atom; size of the total moment = 1.06 Bohr magnetons per cell; calculated volume = 19.98 A^3/atom
1.0
6.590 -1.885 0.000
6.590 1.885 0.000
-5.825 0.000 7.239
Rb Na Pm O
2 2 1 4
direct
0.172 0.172 0.278
0.828 0.828 0.722
0.353 0.353 0.124
0.647 0.647 0.876
0.000 0.000 0.500
0.205 0.205 0.798
0.438 0.438 0.595
0.562 0.562 0.405
0.795 0.795 0.202


(12)
NaPm2ReO6 (PBE-GGA, optimized geometry); space group = No. 99; formation energy without anion corrections = -2.2438 eV per atom; calculated total energy = -7.55 eV/atom; size of the total moment = 0.00 Bohr magnetons per cell; calculated volume = 15.19 A^3/atom
1.0
5.351 0.000 0.000
0.000 5.351 0.000
0.000 0.000 5.305
Na Pm Re O
1 2 1 6
direct
0.000 0.000 0.000
0.000 0.500 0.442
0.500 0.000 0.442
0.500 0.500 0.024
0.000 0.000 0.576
0.271 0.271 0.188
0.271 0.729 0.188
0.500 0.500 0.684
0.729 0.271 0.188
0.729 0.729 0.188